[1]
The following is a PBE-GGA calculation of a relaxed structure of ZrAg2P2, from the Alexandria database.

abc: 7.083 7.083 3.586
angles: 90.00 90.00 90.00
Positions (direct):
P 0.337 0.837 0.000
Zr 0.000 0.000 0.000
Ag 0.142 0.642 0.500
Ag 0.358 0.142 0.500
P 0.163 0.337 0.000
P 0.837 0.663 0.000
Ag 0.642 0.858 0.500
Ag 0.858 0.358 0.500
Zr 0.500 0.500 0.000
P 0.663 0.163 0.000

Formation energy from the elements = -0.1085 eV per atom
Volume = 89.95 Å³/f.u.

***

[2]
The following is a PBE-GGA calculation of a relaxed structure of KSeBr6, from the Alexandria database.

abc: 7.244 7.244 7.816
angles: 62.39 62.39 60.00
Positions (direct):
Br 0.411 0.909 0.771
K 0.500 0.500 0.500
Se 0.000 0.000 0.000
Br 0.909 0.411 0.771
Br 0.589 0.091 0.229
Br 0.091 0.589 0.229
Br 0.909 0.909 0.771
Br 0.091 0.091 0.229

Uncorrected formation energy = -0.39 eV/atom
ΔE to the lowest computed polymorph = 0.228 eV per formula unit
Volume = 300.10 Å³/f.u.

***

[3]
The following is a PBE-GGA calculation of a relaxed structure of Cs2In6Hg3, from the Alexandria database.

abc: 4.814 9.406 9.406
angles: 120.00 90.00 90.00
Positions (direct):
Hg 0.500 0.000 0.604
In 0.000 0.809 0.000
Cs 0.000 0.333 0.667
Cs 0.000 0.667 0.333
Hg 0.500 0.396 0.396
In 0.500 0.728 0.728
In 0.000 0.000 0.809
In 0.500 0.272 0.000
In 0.500 0.000 0.272
Hg 0.500 0.604 0.000
In 0.000 0.191 0.191

Formation energy from the elements = -0.1154 eV per atom
Volume = 368.83 Å³/f.u.

***

[4]
The following is a PBE-GGA calculation of a relaxed structure of Pr6Sm2Tm, from the Alexandria database.

abc: 3.688 10.188 10.188
angles: 55.96 90.00 90.00
Positions (direct):
Pr 0.500 0.686 0.314
Sm 0.500 0.174 0.174
Pr 0.000 0.510 0.161
Pr 0.000 0.161 0.510
Pr 0.000 0.490 0.839
Pr 0.500 0.314 0.686
Tm 0.000 0.000 0.000
Pr 0.000 0.839 0.490
Sm 0.500 0.826 0.826

Formation energy from the elements = 0.1285 eV per atom
ΔE to the lowest computed polymorph = 0.150 eV per formula unit
Volume = 317.19 Å³/f.u.

***

[5]
The following is a PBE-GGA calculation of a relaxed structure of Te2IrI, from the Alexandria database.

abc: 3.551 3.551 11.260
angles: 90.00 90.00 120.00
Positions (direct):
Te 0.667 0.333 0.309
I 0.000 0.000 0.025
Ir 0.333 0.667 0.444
Te 0.333 0.667 0.677

Uncorrected formation energy = 0.22 eV/atom
ΔE to the lowest computed polymorph = 1.592 eV per formula unit
Volume = 123.00 Å³/f.u.

***

[6]
The following is a PBE-GGA calculation of a relaxed structure of ZrReSi2, from the Alexandria database.

abc: 8.081 9.280 10.150
angles: 90.00 90.00 90.00
Positions (direct):
Re 0.749 0.585 0.242
Si 0.500 0.464 0.886
Re 0.755 0.000 0.000
Si 0.646 0.333 0.319
Si 0.646 0.833 0.181
Si 0.354 0.833 0.181
Zr 0.000 0.829 0.179
Re 0.755 0.500 0.500
Si 0.000 0.535 0.116
Si 0.646 0.167 0.819
Si 0.000 0.965 0.616
Si 0.000 0.035 0.384
Re 0.245 0.000 0.000
Si 0.500 0.536 0.114
Zr 0.247 0.174 0.549
Si 0.500 0.374 0.594
Re 0.251 0.915 0.742
Si 0.000 0.631 0.398
Si 0.500 0.626 0.406
Re 0.251 0.585 0.242
Si 0.354 0.333 0.319
Si 0.646 0.667 0.681
Si 0.500 0.036 0.386
Si 0.000 0.131 0.102
Si 0.354 0.167 0.819
Zr 0.247 0.674 0.951
Zr 0.753 0.674 0.951
Re 0.251 0.415 0.758
Zr 0.000 0.329 0.321
Si 0.500 0.964 0.614
Si 0.500 0.874 0.906
Zr 0.753 0.326 0.049
Si 0.354 0.667 0.681
Si 0.500 0.126 0.094
Zr 0.247 0.826 0.451
Re 0.245 0.500 0.500
Re 0.749 0.085 0.258
Zr 0.753 0.174 0.549
Re 0.251 0.085 0.258
Zr 0.753 0.826 0.451
Zr 0.000 0.171 0.821
Si 0.000 0.369 0.602
Si 0.000 0.465 0.884
Re 0.749 0.415 0.758
Si 0.000 0.869 0.898
Zr 0.247 0.326 0.049
Zr 0.000 0.671 0.679
Re 0.749 0.915 0.742

Uncorrected formation energy = -0.65 eV/atom
Volume = 63.43 Å³/f.u.

***

[7]
The following is a PBE-GGA calculation of a relaxed structure of Sc2Be3Os, from the Alexandria database.

abc: 4.866 4.866 4.887
angles: 90.02 119.90 119.94
Positions (direct):
Be 0.500 0.500 0.500
Sc 0.254 0.627 0.880
Be 0.000 0.000 0.500
Sc 0.746 0.373 0.120
Os 0.000 0.000 0.000
Be 0.500 0.000 0.500

Formation energy from the elements = -0.3193 eV per atom
Volume = 82.03 Å³/f.u.

***

[8]
The following is a PBE-GGA calculation of a relaxed structure of Pm2SmAgHg4, from the Alexandria database.

abc: 5.167 5.167 9.445
angles: 74.13 74.13 60.00
Positions (direct):
Hg 0.875 0.875 0.374
Hg 0.125 0.125 0.626
Pm 0.759 0.759 0.722
Pm 0.241 0.241 0.278
Sm 0.000 0.000 0.000
Ag 0.500 0.500 0.500
Hg 0.373 0.373 0.880
Hg 0.627 0.627 0.120

Formation energy from the elements = -0.3942 eV per atom
Volume = 207.16 Å³/f.u.

***

Question: Which value of volume does entry 4 give?
Answer: 317.19 Å³/f.u.

***

Question: Number 7 is which compound?
Answer: Sc2Be3Os

***

Question: Which formula does entry 5 have?
Answer: Te2IrI